[1]
{"formula": "Rb12Au6I", "functional": "PBE", "state": "optimized geometry", "lattice_angstrom": [[-6.214, 6.214, 6.214], [6.214, -6.214, 6.214], [6.214, 6.214, -6.214]], "species": ["Rb", "Rb", "Rb", "Rb", "Rb", "Rb", "Rb", "Rb", "Rb", "Rb", "Rb", "Rb", "Au", "Au", "Au", "Au", "Au", "Au", "I"], "frac_coords": [[0.133, 0.820, 0.313], [0.180, 0.313, 0.493], [0.180, 0.687, 0.867], [0.313, 0.133, 0.820], [0.313, 0.493, 0.180], [0.493, 0.180, 0.313], [0.507, 0.820, 0.687], [0.687, 0.507, 0.820], [0.687, 0.867, 0.180], [0.820, 0.313, 0.133], [0.820, 0.687, 0.507], [0.867, 0.180, 0.687], [0.116, 0.616, 0.500], [0.384, 0.500, 0.884], [0.500, 0.116, 0.616], [0.500, 0.884, 0.384], [0.616, 0.500, 0.116], [0.884, 0.384, 0.500], [0.000, 0.000, 0.000]], "e_form_raw_ev_per_fu": -5.983, "crystal_system": "cubic", "total_magnetization_mub_per_fu": 0.0, "dft_energy_ev_per_atom": -2.04}

=====

[2]
{"formula": "PuH8Rh4Au", "functional": "PBE", "state": "optimized geometry", "lattice_angstrom": [[2.838, 1.639, 4.739], [-2.838, 1.639, 4.739], [0.000, -3.277, 4.739]], "species": ["Pu", "H", "H", "H", "H", "H", "H", "H", "H", "Rh", "Rh", "Rh", "Rh", "Au"], "frac_coords": [[0.000, 0.000, 0.000], [0.296, 0.296, 0.902], [0.296, 0.902, 0.296], [0.382, 0.382, 0.382], [0.474, 0.859, 0.859], [0.843, 0.843, 0.843], [0.859, 0.474, 0.859], [0.859, 0.859, 0.474], [0.902, 0.296, 0.296], [0.131, 0.623, 0.623], [0.250, 0.250, 0.250], [0.623, 0.131, 0.623], [0.623, 0.623, 0.131], [0.618, 0.618, 0.618]], "crystal_system": "trigonal", "total_magnetization_mub_per_fu": 5.3, "dft_energy_ev_per_atom": -5.34}

=====

[3]
{"formula": "BaAs3Rh", "functional": "PBE", "state": "optimized geometry", "lattice_angstrom": [[4.999, 0.000, 0.000], [0.000, 4.999, 0.000], [0.000, 0.000, 4.999]], "species": ["Ba", "As", "As", "As", "Rh"], "frac_coords": [[0.000, 0.000, 0.000], [0.000, 0.500, 0.500], [0.500, 0.000, 0.500], [0.500, 0.500, 0.000], [0.500, 0.500, 0.500]], "crystal_system": "cubic", "total_magnetization_mub_per_fu": 0.0, "e_form_ev_per_fu": -1.102, "dft_energy_ev_per_atom": -4.86, "e_above_lowest_polymorph_ev_per_atom": 0.000}

=====

[4]
{"formula": "LiAs2Pd", "functional": "PBE", "state": "optimized geometry", "lattice_angstrom": [[6.401, 0.000, 0.000], [0.000, 6.401, 0.000], [0.000, 0.000, 6.401]], "species": ["Li", "Li", "Li", "Li", "As", "As", "As", "As", "As", "As", "As", "As", "Pd", "Pd", "Pd", "Pd"], "frac_coords": [[0.000, 0.000, 0.000], [0.000, 0.500, 0.500], [0.500, 0.000, 0.500], [0.500, 0.500, 0.000], [0.250, 0.250, 0.250], [0.250, 0.250, 0.750], [0.250, 0.750, 0.250], [0.250, 0.750, 0.750], [0.750, 0.250, 0.250], [0.750, 0.250, 0.750], [0.750, 0.750, 0.250], [0.750, 0.750, 0.750], [0.000, 0.000, 0.500], [0.000, 0.500, 0.000], [0.500, 0.000, 0.000], [0.500, 0.500, 0.500]], "crystal_system": "cubic", "total_magnetization_mub_per_fu": 0.0, "e_form_ev_per_fu": -1.304, "dft_energy_ev_per_atom": -4.43, "e_above_lowest_polymorph_ev_per_atom": 0.079}

=====

[5]
{"formula": "CsRbSi3", "functional": "PBE", "state": "optimized geometry", "lattice_angstrom": [[6.014, 0.000, 0.000], [0.000, 6.014, 0.000], [0.000, 0.000, 6.014]], "species": ["Cs", "Rb", "Si", "Si", "Si"], "frac_coords": [[0.000, 0.000, 0.000], [0.500, 0.500, 0.500], [0.000, 0.500, 0.500], [0.500, 0.000, 0.500], [0.500, 0.500, 0.000]], "e_form_raw_ev_per_fu": 8.423, "crystal_system": "cubic", "total_magnetization_mub_per_fu": 0.0, "dft_energy_ev_per_atom": -1.93, "e_above_lowest_polymorph_ev_per_atom": 0.000}

=====

[6]
{"formula": "CdSeN", "functional": "PBE", "state": "optimized geometry", "lattice_angstrom": [[21.420, 0.000, 0.000], [0.000, 3.955, 0.000], [-0.432, 0.000, 3.932]], "species": ["Cd", "Cd", "Cd", "Cd", "Se", "Se", "Se", "Se", "N", "N", "N", "N"], "frac_coords": [[0.196, 0.000, 0.218], [0.304, 0.500, 0.782], [0.696, 0.500, 0.218], [0.804, 0.000, 0.782], [0.173, 0.500, 0.704], [0.327, 0.000, 0.296], [0.673, 0.000, 0.704], [0.827, 0.500, 0.296], [0.025, 0.000, 0.062], [0.475, 0.500, 0.938], [0.525, 0.500, 0.062], [0.975, 0.000, 0.938]], "e_form_raw_ev_per_fu": -0.837, "crystal_system": "monoclinic", "total_magnetization_mub_per_fu": 0.0, "dft_energy_ev_per_atom": -4.52, "e_above_lowest_polymorph_ev_per_atom": 0.067}

=====

[7]
{"formula": "Ce2Ge3O9", "functional": "PBE", "state": "optimized geometry", "lattice_angstrom": [[5.772, 0.000, 0.000], [-0.200, 7.807, 0.000], [-2.789, -2.707, 7.882]], "species": ["Ce", "Ce", "Ce", "Ce", "Ge", "Ge", "Ge", "Ge", "Ge", "Ge", "O", "O", "O", "O", "O", "O", "O", "O", "O", "O", "O", "O", "O", "O", "O", "O", "O", "O"], "frac_coords": [[0.131, 0.197, 0.217], [0.187, 0.815, 0.415], [0.813, 0.185, 0.585], [0.869, 0.803, 0.783], [0.239, 0.515, 0.004], [0.335, 0.491, 0.658], [0.428, 0.075, 0.852], [0.572, 0.925, 0.148], [0.665, 0.509, 0.342], [0.761, 0.485, 0.996], [0.009, 0.676, 0.046], [0.120, 0.012, 0.692], [0.130, 0.523, 0.778], [0.162, 0.297, 0.496], [0.288, 0.993, 0.999], [0.354, 0.539, 0.239], [0.407, 0.687, 0.617], [0.417, 0.969, 0.308], [0.466, 0.327, 0.953], [0.534, 0.673, 0.047], [0.583, 0.031, 0.692], [0.593, 0.313, 0.383], [0.646, 0.461, 0.761], [0.712, 0.007, 0.001], [0.838, 0.703, 0.504], [0.870, 0.477, 0.222], [0.880, 0.988, 0.308], [0.991, 0.324, 0.954]], "e_form_raw_ev_per_fu": -32.037, "crystal_system": "triclinic", "total_magnetization_mub_per_fu": 2.0, "dft_energy_ev_per_atom": -7.31}